1.
DFT (PBE-GGA) results for a geometry-optimized BaPmC2O6 structure.

Cell lengths 6.571, 6.571, 7.131 Å; angles 103.03, 103.03, 100.70 degrees
Element x y z (fractional)
Pm: 0.589 0.411 0.250
Pm: 0.411 0.589 0.750
O: 0.393 0.932 0.695
O: 0.068 0.607 0.805
O: 0.607 0.068 0.305
O: 0.511 0.282 0.889
O: 0.282 0.511 0.389
O: 0.489 0.718 0.111
O: 0.718 0.489 0.611
O: 0.191 0.227 0.115
O: 0.809 0.773 0.885
O: 0.773 0.809 0.385
O: 0.932 0.393 0.195
O: 0.227 0.191 0.615
Ba: 0.141 0.859 0.250
Ba: 0.859 0.141 0.750
C: 0.364 0.126 0.742
C: 0.874 0.636 0.758
C: 0.126 0.364 0.242
C: 0.636 0.874 0.258

Calculated values
final energy	-151.88	eV per cell
volume	141.49	Å³/f.u.
space group	C2/c, No. 15
E_form (uncorrected)	-2107	meV/atom

***

2.
DFT (PBE-GGA) results for a geometry-optimized Ho8Tm2Sc structure.

Cell lengths 5.546, 9.873, 9.873 Å; angles 40.38, 92.27, 92.27 degrees
Element x y z (fractional)
Ho: 0.737 0.395 0.865
Ho: 0.766 0.454 0.454
Ho: 0.263 0.135 0.605
Ho: 0.263 0.605 0.135
Ho: 0.767 0.815 0.815
Ho: 0.233 0.185 0.185
Ho: 0.737 0.865 0.395
Ho: 0.234 0.546 0.546
Tm: 0.746 0.283 0.283
Tm: 0.254 0.717 0.717
Sc: 0.000 0.000 0.000

Calculated values
final energy	-49.81	eV per cell
volume	349.94	Å³/f.u.
formation energy from the elements	189	meV/atom
space group	C2/m, No. 12

***

3.
DFT (PBE-GGA) results for a geometry-optimized Cr3FeCo4 structure.

Cell lengths 3.516, 3.516, 7.452 Å; angles 103.66, 103.66, 89.93 degrees
Element x y z (fractional)
Co: 0.375 0.375 0.749
Co: 0.125 0.125 0.251
Co: 0.625 0.625 0.251
Co: 0.875 0.875 0.749
Cr: 0.000 0.500 0.000
Cr: 0.749 0.249 0.498
Cr: 0.251 0.751 0.502
Fe: 0.500 0.000 0.000

Calculated values
final energy	-65.48	eV per cell
volume	86.83	Å³/f.u.
formation energy from the elements	34	meV/atom
space group	I4/mmm, No. 139

***

Question: final energy of number 2 (Ho8Tm2Sc)?
Answer: -49.81 eV per cell

***

Question: final energy of number 2 (Ho8Tm2Sc)?
Answer: -49.81 eV per cell

***

Question: Look up the final energy of the third one.
Answer: -65.48 eV per cell